Density functional theory data (PBE-GGA) for a relaxed structure of TbNd2PuSe4.

Summary:
density of states at the Fermi level	9.80	states/eV/f.u.

Cell: 4.1506 7.2271 7.2596 Å, 109.12 90.00 90.00°
Last column: nearest neighbours and their distance in Å.
Element x y z (fractional)
Se 0.5000 0.2449 0.2396  2 Tb 2.91, 1 Pu 2.92, 3 Nd 2.98-3.00
Se 0.0000 0.7485 0.2408  1 Tb 2.91, 2 Pu 2.92, 3 Nd 2.99-3.00
Se 0.5000 0.7551 0.7604  2 Tb 2.91, 1 Pu 2.92, 3 Nd 2.98-3.00
Se 0.0000 0.2515 0.7592  1 Tb 2.91, 2 Pu 2.92, 3 Nd 2.99-3.00
Nd 0.0000 0.5000 0.5000  6 Se 3.00
Nd 0.5000 0.0000 0.5000  6 Se 2.98-2.99
Pu 0.5000 0.5000 0.0000  6 Se 2.92
Tb 0.0000 0.0000 0.0000  6 Se 2.91

=====

Density functional theory data (PBE-GGA) for a relaxed structure of BaTeAu4.

Summary:
density of states at the Fermi level	0.37	states/eV/f.u.

Cell: 5.8559 5.8559 5.8559 Å, 60.00 60.00 60.00°
Last column: nearest neighbours and their distance in Å.
Element x y z (fractional)
Te 0.0000 0.0000 0.0000  12 Au 3.43, 4 Ba 3.59
Au 0.3747 0.3747 0.8759  6 Au 2.92-2.94
Au 0.3747 0.8759 0.3747  6 Au 2.92-2.94
Au 0.8759 0.3747 0.3747  6 Au 2.92-2.94
Au 0.3747 0.3747 0.3747  6 Au 2.92-2.94
Ba 0.7500 0.7500 0.7500  12 Au 3.43, 4 Te 3.59

=====

Density functional theory data (PBE-GGA) for a relaxed structure of Ca2PrPuN4.

Summary:
density of states at the Fermi level	5.47	states/eV/f.u.

Cell: 3.5684 6.1630 6.0821 Å, 109.56 90.00 90.00°
Last column: nearest neighbours and their distance in Å.
Element x y z (fractional)
Pu 0.0000 0.0000 0.0000  6 N 2.16-2.41
Pr 0.5000 0.5000 0.0000  6 N 2.50-2.52
N 0.5000 0.2291 0.2280  2 Pu 2.41, 1 Pr 2.50, 3 Ca 2.51-2.62
N 0.0000 0.7814 0.2141  1 Pu 2.16
N 0.5000 0.7709 0.7720  2 Pu 2.41, 1 Pr 2.50, 3 Ca 2.51-2.62
N 0.0000 0.2186 0.7859  1 Pu 2.16
Ca 0.5000 0.0000 0.5000  6 N 2.51-2.54
Ca 0.0000 0.5000 0.5000  6 N 2.62-2.84

=====

Density functional theory data (PBE-GGA) for a relaxed structure of Cd2AgIr.

Summary:
energy relative to the elements	118	meV per atom
density of states at the Fermi level	2.57	states/eV/f.u.

Cell: 9.5892 9.5892 9.5892 Å, 17.81 17.81 17.81°
Last column: nearest neighbours and their distance in Å.
Element x y z (fractional)
Ir 0.2500 0.2500 0.2500  6 Cd 2.85, 6 Ir 2.97
Cd 0.9971 0.9971 0.9971  3 Ir 2.85, 6 Cd 2.97, 3 Ag 2.98
Cd 0.5029 0.5029 0.5029  3 Ir 2.85, 6 Cd 2.97, 3 Ag 2.98
Ag 0.7500 0.7500 0.7500  6 Ag 2.97, 6 Cd 2.98

=====

Density functional theory data (PBE-GGA) for a relaxed structure of KMnCr2.

Summary:
energy relative to the elements	1255	meV per atom
energy above the lowest structure with this stoichiometry	489.1	meV per atom
density of states at the Fermi level	2.83	states/eV/f.u.

Cell: 3.1018 5.2041 5.1256 Å, 90.00 90.00 90.00°
Last column: nearest neighbours and their distance in Å.
Element x y z (fractional)
Cr 0.0000 0.0000 0.0000  4 K 3.00, 6 Cr 3.03-3.10
Cr 0.5000 0.5000 0.0000  4 Mn 3.00, 6 Cr 3.03-3.10
K 0.5000 0.0000 0.5000  4 Cr 3.00, 4 Mn 3.03, 2 K 3.10
Mn 0.0000 0.5000 0.5000  4 Cr 3.00, 4 K 3.03, 2 Mn 3.10

=====

Density functional theory data (PBE-GGA) for a relaxed structure of Ba2TiReO6.

Summary:
density of states at the Fermi level	4.87	states/eV/f.u.

Cell: 5.5106 5.5108 6.4796 Å, 64.80 64.81 90.00°
Last column: nearest neighbours and their distance in Å.
Element x y z (fractional)
O 0.8150 0.8150 0.3697  1 Ti 1.91
O 0.7407 0.7404 0.0002  1 Re 1.88, 1 Ti 2.02
O 0.1850 0.1850 0.6303  1 Ti 1.91
O 0.2593 0.2596 0.9998  1 Re 1.88, 1 Ti 2.02
O 0.7406 0.2593 0.0000  1 Re 1.88, 1 Ti 2.02
O 0.2594 0.7407 0.0000  1 Re 1.88, 1 Ti 2.02
Ba 0.7500 0.2500 0.4999  4 O 2.84
Ba 0.2500 0.7500 0.5001  4 O 2.84
Re 0.5000 0.5000 0.0000  4 O 1.88
Ti 0.0000 0.0000 0.0000  6 O 1.91-2.02

=====

Density functional theory data (PBE-GGA) for a relaxed structure of Pr4Y15Tl.

Summary:
energy relative to the elements	-12	meV per atom
density of states at the Fermi level	28.12	states/eV/f.u.

Cell: 5.0415 5.0415 25.5213 Å, 90.00 90.00 90.00°
Last column: nearest neighbours and their distance in Å.
Element x y z (fractional)
Y 0.5000 0.5000 0.6015  4 Pr 3.56, 8 Y 3.60-3.61
Y 0.5000 0.5000 0.3985  4 Pr 3.56, 8 Y 3.60-3.61
Y 0.5000 0.0000 0.7023  8 Y 3.56-3.66, 4 Pr 3.58-3.60
Y 0.5000 0.0000 0.2977  8 Y 3.56-3.66, 4 Pr 3.58-3.60
Y 0.0000 0.5000 0.7023  8 Y 3.56-3.66, 4 Pr 3.58-3.60
Y 0.5000 0.0000 0.0952  2 Tl 3.50, 8 Y 3.50-3.56, 2 Pr 3.64
Y 0.5000 0.0000 0.9048  2 Tl 3.50, 8 Y 3.50-3.56, 2 Pr 3.64
Y 0.5000 0.5000 0.8063  8 Y 3.56-3.66, 4 Pr 3.57
Y 0.0000 0.5000 0.2977  8 Y 3.56-3.66, 4 Pr 3.58-3.60
Y 0.5000 0.5000 0.0000  8 Y 3.50, 4 Tl 3.56
Y 0.0000 0.5000 0.5000  8 Y 3.56-3.61, 4 Pr 3.61
Y 0.0000 0.5000 0.9048  8 Y 3.50-3.56, 2 Tl 3.50, 2 Pr 3.64
Y 0.5000 0.5000 0.1937  8 Y 3.56-3.66, 4 Pr 3.57
Y 0.5000 0.0000 0.5000  8 Y 3.56-3.61, 4 Pr 3.61
Y 0.0000 0.5000 0.0952  8 Y 3.50-3.56, 2 Tl 3.50, 2 Pr 3.64
Pr 0.0000 0.0000 0.1979  12 Y 3.57-3.64
Pr 0.0000 0.0000 0.6015  12 Y 3.56-3.61
Pr 0.0000 0.0000 0.8021  12 Y 3.57-3.64
Pr 0.0000 0.0000 0.3985  12 Y 3.56-3.61
Tl 0.0000 0.0000 0.0000  12 Y 3.50-3.56

=====

Density functional theory data (PBE-GGA) for a relaxed structure of SbPdSeI2.

Summary:
energy above the lowest structure with this stoichiometry	407.0	meV per atom
density of states at the Fermi level	6.04	states/eV/f.u.

Cell: 5.7821 5.7821 5.4206 Å, 90.00 90.00 90.00°
Last column: nearest neighbours and their distance in Å.
Element x y z (fractional)
Sb 0.0000 0.0000 0.5000  2 Se 2.71
Pd 0.5000 0.5000 0.5000  8 I 3.96, 4 Sb 4.09
Se 0.0000 0.0000 0.0000  2 Sb 2.71, 4 I 2.89
I 0.0000 0.5000 0.0000  2 Se 2.89
I 0.5000 0.0000 0.0000  2 Se 2.89

=====

no.,VASP energy (eV per cell)
1,-56.54
2,-20.82
3,-65.43
4,-13.07
5,-24.49
6,-77.50
7,-118.69
8,-11.86